No. 1
The following is a DFT calculation (meta-GGA SCAN) of TcSbRuI2 at its PBEsol-relaxed geometry.

Summary:
Energy relative to the elements, uncorrected: 1.16 eV/atom

Lattice parameters (Å, degrees): 4.970 5.311 5.311 90.00 90.00 90.00
Last column: magnetic moment on the atom in μB.
Atoms (fractional coordinates):
Tc 0.500 0.500 0.500  4.13
I 0.000 0.500 0.000  0.05
I 0.000 0.000 0.500  0.05
Sb 0.500 0.000 0.000  -0.05
Ru 0.000 0.000 0.000  0.24

***

No. 2
The following is a DFT calculation (meta-GGA SCAN) of Y2TiCrRh at its PBEsol-relaxed geometry.

Summary:
DFT total energy: -24.74 eV per atom

Lattice parameters (Å, degrees): 4.581 5.311 5.311 90.00 90.00 90.00
Last column: magnetic moment on the atom in μB.
Atoms (fractional coordinates):
Cr 0.500 0.500 0.500  4.11
Rh 0.000 0.000 0.000  0.12
Y 0.000 0.500 0.000  -0.10
Y 0.000 0.000 0.500  -0.10
Ti 0.500 0.000 0.000  -1.01